# 1
A relaxed structure of NaScAgBi, computed with PBE-GGA.

Calculated values
Energy of formation from the pure elements (eV per atom): -0.26

Cell: 5.109 5.109 5.109 Å, 60.00 60.00 60.00°
Fractional positions:
Ag 0.250 0.250 0.250
Na 0.000 0.000 0.000
Sc 0.500 0.500 0.500
Bi 0.750 0.750 0.750

---

# 2
A relaxed structure of Ba4Ir, computed with PBE-GGA.

Calculated values
E above lowest polymorph (meV/atom): 118
Energy of formation from the pure elements (eV per atom): -0.02

Cell: 7.983 7.983 7.983 Å, 93.58 93.58 151.04°
Fractional positions:
Ba 0.733 0.447 0.180
Ir 0.000 0.000 0.000
Ba 0.267 0.553 0.820
Ba 0.553 0.733 0.286
Ba 0.447 0.267 0.714

---

# 3
A relaxed structure of KPr2HgSe4, computed with PBE-GGA.

Calculated values
Formation energy without anion corrections (eV per atom): -1.33

Cell: 4.418 7.595 15.281 Å, 90.00 90.00 106.91°
Fractional positions:
Se 0.000 0.000 0.000
Hg 0.151 0.303 0.250
K 0.127 0.255 0.750
Pr 0.627 0.253 0.060
Pr 0.373 0.747 0.560
Se 0.455 0.910 0.750
Pr 0.373 0.747 0.940
Se 0.734 0.467 0.607
Se 0.545 0.090 0.250
Se 0.266 0.533 0.393
Hg 0.849 0.697 0.750
Se 0.266 0.533 0.107
Pr 0.627 0.253 0.440
Se 0.734 0.467 0.893
Se 0.000 0.000 0.500
K 0.873 0.745 0.250

---

# 4
A relaxed structure of Tb3Tm2Bi2, computed with PBE-GGA.

Calculated values
Energy of formation from the pure elements (eV per atom): -0.20

Cell: 3.458 8.151 8.952 Å, 119.92 101.14 90.00°
Each line ends with the local moment (μB).
Fractional positions:
Tm 0.146 0.323 0.292  0.01
Tm 0.854 0.677 0.708  0.01
Tb 0.000 0.500 0.000  0.15
Tb 0.214 0.792 0.429  0.05
Bi 0.573 0.896 0.145  0.00
Bi 0.427 0.104 0.855  0.00
Tb 0.786 0.208 0.571  0.05

---

The calculation returns the following E_tot values, one per record and in order: -3.857; -3.330; -4.443; -4.575 eV per atom.